Record 1
This record from Alexandria describes a PBEsol-optimized structure of CaBrO2F. The functional is meta-GGA SCAN.

Unit cell a=3.909 b=3.909 c=5.002 alpha=90.00 beta=90.00 gamma=90.00
Fractional positions:
Ca  0.500  0.500  0.500
F  0.000  0.000  0.500
Br  0.000  0.000  0.000
O  0.000  0.500  0.000
O  0.500  0.000  0.000

**ρ**: 3.716 g cm⁻³
**Formation energy without anion corrections**: -514 kJ/mol of formula units

***

Record 2
This record from Alexandria describes a PBEsol-optimized structure of RbNa2BeZn. The functional is meta-GGA SCAN.

Unit cell a=4.527 b=5.610 c=5.610 alpha=90.00 beta=90.00 gamma=90.00
Fractional positions:
Zn  0.500  0.000  0.000
Na  0.000  0.500  0.000
Na  0.000  0.000  0.500
Rb  0.500  0.500  0.500
Be  0.000  0.000  0.000

**Formation energy**: 0.32 eV/atom
**ρ**: 2.399 g cm⁻³

***

Record 3
This record from Alexandria describes a PBEsol-optimized structure of KLi8. The functional is meta-GGA SCAN.

Unit cell a=4.815 b=7.194 c=7.194 alpha=83.57 beta=70.45 gamma=70.45
Fractional positions:
Li  0.000  0.650  0.350
Li  0.316  0.000  0.368
Li  0.684  0.000  0.632
Li  0.650  0.350  0.350
Li  0.684  0.632  0.000
Li  0.316  0.368  0.000
Li  0.000  0.350  0.650
Li  0.350  0.650  0.650
K  0.000  0.000  0.000

**Formation energy**: 0.08 eV/atom
**ρ**: 0.710 g cm⁻³